# Na2Cr2OsO6

An optimized crystal structure of Na2Cr2OsO6 (PBE with a Hubbard U, the Alexandria database).

Fermi-level density of states ... 5.7 states/eV/f.u.
Calculated total energy ... -6.900 eV/atom

Geometry as POSCAR:
```
Na2Cr2OsO6
1.0
2.660 -4.557 0.000
2.660 4.557 0.000
-1.791 0.000 5.474
Na Cr Os O
2 2 1 6
direct
0.166 0.834 0.000
0.834 0.166 0.000
0.336 0.664 0.500
0.664 0.336 0.500
0.000 0.000 0.500
0.059 0.395 0.688
0.269 0.269 0.307
0.395 0.059 0.688
0.605 0.941 0.312
0.731 0.731 0.693
0.941 0.605 0.312
```